No. 1
## Li4Al (GGA-PBE)

Data for crystalline Li4Al at its relaxed geometry.

Calculated values
energy above the most stable polymorph in this dataset: 109 kJ/mol of formula units
DOS at the Fermi energy: 1.25 states/eV per cell
magnetic moment: 0.000 μB per atom
E_tot: -0.157 Ry per atom
calculated volume: 18.130 Å³/atom
formation energy: 0.145 eV/atom

Cell: 3.669 3.669 7.110 Å, 103.10 103.10 90.13°
Fractional coordinates of all 5 atoms:
Li1 0.082 0.582 0.684
Li2 0.744 0.756 0.000
Li3 0.256 0.244 0.000
Li4 0.918 0.418 0.316
Al1 0.500 0.000 0.500


No. 2
## Li3Al4 (GGA-PBE)

Data for crystalline Li3Al4 at its relaxed geometry.

Calculated values
DOS at the Fermi energy: 1.68 states/eV per cell
magnetic moment: 0.000 μB per atom
E_tot: -0.223 Ry per atom
calculated volume: 16.548 Å³/atom
formation energy: -0.071 eV/atom

Cell: 10.434 10.434 10.434 Å, 161.37 161.37 26.46°
Fractional coordinates of all 7 atoms:
Li1 0.000 0.000 0.000
Al1 0.568 0.568 0.000
Al2 0.432 0.432 0.000
Li2 0.713 0.713 0.000
Al3 0.860 0.860 0.000
Li3 0.287 0.287 0.000
Al4 0.140 0.140 0.000


No. 3
## Li4Al3 (GGA-PBE)

Data for crystalline Li4Al3 at its relaxed geometry.

Calculated values
energy above the most stable polymorph in this dataset: 11 kJ/mol of formula units
DOS at the Fermi energy: 1.72 states/eV per cell
magnetic moment: 0.000 μB per atom
E_tot: -0.207 Ry per atom
calculated volume: 16.090 Å³/atom
formation energy: -0.112 eV/atom

Cell: 11.364 11.364 11.364 Å, 163.92 163.92 22.82°
Fractional coordinates of all 7 atoms:
Li1 0.572 0.572 0.000
Al1 0.000 0.000 0.000
Li2 0.142 0.142 0.000
Al2 0.287 0.287 0.000
Li3 0.858 0.858 0.000
Al3 0.713 0.713 0.000
Li4 0.428 0.428 0.000


No. 4
## Li2Al3 (GGA-PBE)

Data for crystalline Li2Al3 at its relaxed geometry.

Calculated values
energy above the most stable polymorph in this dataset: 0 kJ/mol of formula units
DOS at the Fermi energy: 3.89 states/eV per cell
magnetic moment: 0.000 μB per atom
E_tot: -0.230 Ry per atom
calculated volume: 16.247 Å³/atom
formation energy: -0.111 eV/atom

Cell: 4.024 6.354 6.354 Å, 90.00 90.00 90.00°
Fractional coordinates of all 10 atoms:
Li1 0.500 0.894 0.299
Al1 0.000 0.199 0.402
Li2 0.500 0.106 0.701
Al2 0.500 0.500 0.500
Al3 0.000 0.598 0.199
Al4 0.000 0.000 0.000
Li3 0.500 0.299 0.106
Al5 0.000 0.801 0.598
Al6 0.000 0.402 0.801
Li4 0.500 0.701 0.894


No. 5
## Li5Al4 (GGA-PBE)

Data for crystalline Li5Al4 at its relaxed geometry.

Calculated values
energy above the most stable polymorph in this dataset: 19 kJ/mol of formula units
DOS at the Fermi energy: 2.76 states/eV per cell
magnetic moment: 0.000 μB per atom
E_tot: -0.209 Ry per atom
calculated volume: 16.836 Å³/atom
formation energy: -0.121 eV/atom

Cell: 6.672 6.672 6.672 Å, 94.37 94.37 147.94°
Fractional coordinates of all 9 atoms:
Al1 0.338 0.000 0.338
Li1 0.327 0.673 0.000
Al2 0.662 0.000 0.662
Al3 0.000 0.662 0.662
Al4 0.000 0.338 0.338
Li2 0.673 0.327 0.000
Li3 0.327 0.327 0.654
Li4 0.673 0.673 0.346
Li5 0.000 0.000 0.000


No. 6
## Li2Al3 (GGA-PBE)

Data for crystalline Li2Al3 at its relaxed geometry.

Calculated values
energy above the most stable polymorph in this dataset: 36 kJ/mol of formula units
DOS at the Fermi energy: 3.37 states/eV per cell
magnetic moment: 0.000 μB per atom
E_tot: -0.224 Ry per atom
calculated volume: 16.497 Å³/atom
formation energy: -0.038 eV/atom

Cell: 8.494 7.371 5.447 Å, 81.52 59.12 39.36°
Fractional coordinates of all 10 atoms:
Al1 0.908 0.790 0.521
Li1 0.546 0.354 0.910
Al2 0.326 0.174 0.174
Al3 0.076 0.924 0.924
Li2 0.189 0.910 0.354
Al4 0.729 0.469 0.342
Li3 0.340 0.061 0.704
Al5 0.781 0.521 0.790
Li4 0.896 0.704 0.061
Al6 0.460 0.342 0.469


No. 7
## Li3Al13 (GGA-PBE)

Data for crystalline Li3Al13 at its relaxed geometry.

Calculated values
DOS at the Fermi energy: 5.24 states/eV per cell
magnetic moment: 0.000 μB per atom
E_tot: -0.253 Ry per atom
calculated volume: 16.486 Å³/atom
formation energy: -0.048 eV/atom

Cell: 5.820 5.820 7.788 Å, 90.00 90.00 89.65°
Fractional coordinates of all 16 atoms:
Al1 0.499 0.000 0.748
Al2 0.248 0.248 0.500
Al3 0.499 0.000 0.252
Al4 0.253 0.253 0.000
Al5 0.502 0.498 0.255
Al6 0.245 0.755 0.000
Al7 0.754 0.246 0.500
Li1 0.999 0.001 0.250
Al8 0.000 0.501 0.748
Al9 0.249 0.751 0.500
Al10 0.000 0.501 0.252
Al11 0.747 0.747 0.000
Al12 0.502 0.498 0.745
Li2 0.751 0.249 0.000
Al13 0.752 0.752 0.500
Li3 0.999 0.001 0.750


No. 8
## Li4Al3 (GGA-PBE)

Data for crystalline Li4Al3 at its relaxed geometry.

Calculated values
energy above the most stable polymorph in this dataset: 40 kJ/mol of formula units
DOS at the Fermi energy: 4.91 states/eV per cell
magnetic moment: 0.000 μB per atom
E_tot: -0.203 Ry per atom
calculated volume: 17.759 Å³/atom
formation energy: -0.069 eV/atom

Cell: 5.339 5.339 5.035 Å, 90.00 90.00 120.00°
Fractional coordinates of all 7 atoms:
Li1 0.000 0.000 0.755
Al1 0.500 0.000 0.000
Al2 0.000 0.500 0.000
Li2 0.333 0.667 0.500
Li3 0.000 0.000 0.245
Li4 0.667 0.333 0.500
Al3 0.500 0.500 0.000


No. 9
## LiAl6 (GGA-PBE)

Data for crystalline LiAl6 at its relaxed geometry.

Calculated values
energy above the most stable polymorph in this dataset: 0 kJ/mol of formula units
DOS at the Fermi energy: 5.15 states/eV per cell
magnetic moment: 0.000 μB per atom
E_tot: -0.250 Ry per atom
calculated volume: 18.848 Å³/atom
formation energy: 0.076 eV/atom

Cell: 5.637 5.637 8.304 Å, 90.00 90.00 90.00°
Fractional coordinates of all 14 atoms:
Al1 0.325 0.175 0.642
Al2 0.175 0.675 0.642
Al3 0.825 0.325 0.642
Li1 0.000 0.500 0.000
Li2 0.500 0.000 0.000
Al4 0.000 0.000 0.846
Al5 0.500 0.500 0.154
Al6 0.500 0.500 0.846
Al7 0.675 0.175 0.358
Al8 0.000 0.000 0.154
Al9 0.175 0.325 0.358
Al10 0.675 0.825 0.642
Al11 0.825 0.675 0.358
Al12 0.325 0.825 0.358


No. 10
## Li5Al4 (GGA-PBE)

Data for crystalline Li5Al4 at its relaxed geometry.

Calculated values
energy above the most stable polymorph in this dataset: 0 kJ/mol of formula units
DOS at the Fermi energy: 1.97 states/eV per cell
magnetic moment: 0.000 μB per atom
E_tot: -0.211 Ry per atom
calculated volume: 15.670 Å³/atom
formation energy: -0.143 eV/atom

Cell: 4.462 4.467 8.169 Å, 90.13 90.00 119.96°
Fractional coordinates of all 9 atoms:
Al1 0.667 0.334 0.063
Li1 0.000 0.001 0.168
Al2 0.333 0.667 0.595
Li2 0.333 0.666 0.270
Al3 0.667 0.333 0.405
Al4 0.333 0.666 0.937
Li3 0.000 0.999 0.832
Li4 0.000 0.000 0.500
Li5 0.667 0.334 0.730


No. 11
## Li13Al3 (GGA-PBE)

Data for crystalline Li13Al3 at its relaxed geometry.

Calculated values
energy above the most stable polymorph in this dataset: 0 kJ/mol of formula units
DOS at the Fermi energy: 6.04 states/eV per cell
magnetic moment: 0.000 μB per atom
E_tot: -0.172 Ry per atom
calculated volume: 17.246 Å³/atom
formation energy: -0.077 eV/atom

Cell: 5.660 5.660 9.213 Å, 90.00 90.00 69.21°
Fractional coordinates of all 16 atoms:
Li1 0.506 0.013 0.247
Li2 0.256 0.744 0.000
Al1 0.003 0.997 0.249
Li3 0.987 0.494 0.247
Li4 0.241 0.229 0.000
Li5 0.771 0.759 0.000
Li6 0.780 0.780 0.500
Li7 0.987 0.494 0.753
Li8 0.493 0.507 0.755
Li9 0.739 0.261 0.500
Al2 0.752 0.248 0.000
Li10 0.263 0.737 0.500
Al3 0.003 0.997 0.751
Li11 0.506 0.013 0.753
Li12 0.493 0.507 0.245
Li13 0.220 0.220 0.500


No. 12
## LiAl8 (GGA-PBE)

Data for crystalline LiAl8 at its relaxed geometry.

Calculated values
DOS at the Fermi energy: 3.37 states/eV per cell
magnetic moment: 0.000 μB per atom
E_tot: -0.262 Ry per atom
calculated volume: 16.404 Å³/atom
formation energy: -0.021 eV/atom

Cell: 6.392 6.392 6.392 Å, 95.64 95.64 143.47°
Fractional coordinates of all 9 atoms:
Al1 0.665 0.335 0.000
Al2 0.333 0.000 0.333
Al3 0.000 0.333 0.333
Al4 0.665 0.665 0.330
Al5 0.000 0.667 0.667
Al6 0.335 0.335 0.670
Al7 0.667 0.000 0.667
Li1 0.000 0.000 0.000
Al8 0.335 0.665 0.000


No. 13
## Li4Al (GGA-PBE)

Data for crystalline Li4Al at its relaxed geometry.

Calculated values
energy above the most stable polymorph in this dataset: 0 kJ/mol of formula units
DOS at the Fermi energy: 3.89 states/eV per cell
magnetic moment: 0.000 μB per atom
E_tot: -0.174 Ry per atom
calculated volume: 17.155 Å³/atom
formation energy: -0.081 eV/atom

Cell: 4.571 5.404 7.067 Å, 100.63 90.00 90.00°
Fractional coordinates of all 10 atoms:
Al1 0.500 0.500 0.500
Al2 0.000 0.000 0.000
Li1 0.000 0.410 0.795
Li2 0.000 0.208 0.395
Li3 0.500 0.090 0.705
Li4 0.000 0.590 0.205
Li5 0.500 0.708 0.895
Li6 0.500 0.910 0.295
Li7 0.500 0.292 0.105
Li8 0.000 0.792 0.605


No. 14
## Li7Al3 (GGA-PBE)

Data for crystalline Li7Al3 at its relaxed geometry.

Calculated values
DOS at the Fermi energy: 3.12 states/eV per cell
magnetic moment: 0.000 μB per atom
E_tot: -0.189 Ry per atom
calculated volume: 16.369 Å³/atom
formation energy: -0.107 eV/atom

Cell: 4.548 5.555 6.979 Å, 79.68 109.02 90.00°
Fractional coordinates of all 10 atoms:
Li1 0.199 0.122 0.398
Li2 0.401 0.202 0.802
Al1 0.798 0.385 0.596
Li3 0.000 0.500 0.000
Al2 0.000 0.000 0.000
Li4 0.599 0.798 0.198
Li5 0.602 0.292 0.204
Li6 0.398 0.708 0.796
Al3 0.202 0.615 0.404
Li7 0.801 0.878 0.602


No. 15
## Li13Al3 (GGA-PBE)

Data for crystalline Li13Al3 at its relaxed geometry.

Calculated values
energy above the most stable polymorph in this dataset: 18 kJ/mol of formula units
DOS at the Fermi energy: 5.18 states/eV per cell
magnetic moment: 0.000 μB per atom
E_tot: -0.171 Ry per atom
calculated volume: 17.788 Å³/atom
formation energy: -0.066 eV/atom

Cell: 6.710 6.710 6.321 Å, 90.00 90.00 89.61°
Fractional coordinates of all 16 atoms:
Li1 0.761 0.759 0.000
Al1 0.997 0.003 0.754
Al2 0.997 0.003 0.246
Li2 0.239 0.761 0.500
Li3 0.504 0.005 0.758
Li4 0.504 0.005 0.242
Al3 0.758 0.242 0.000
Li5 0.995 0.496 0.758
Li6 0.995 0.496 0.242
Li7 0.506 0.494 0.241
Li8 0.761 0.761 0.500
Li9 0.241 0.239 0.000
Li10 0.238 0.762 0.000
Li11 0.758 0.242 0.500
Li12 0.239 0.239 0.500
Li13 0.506 0.494 0.759


No. 16
## Li4LuAl (GGA-PBE)

Data for crystalline Li4LuAl at its relaxed geometry.

Calculated values
DOS at the Fermi energy: 1.75 states/eV per cell
magnetic moment: 0.000 μB per atom
E_tot: -0.197 Ry per atom
calculated volume: 18.208 Å³/atom
formation energy: -0.028 eV/atom

Cell: 5.366 5.366 5.366 Å, 60.00 60.00 60.00°
Fractional coordinates of all 6 atoms:
Al1 0.000 0.000 0.000
Li1 0.626 0.626 0.121
Lu1 0.250 0.250 0.250
Li2 0.626 0.626 0.626
Li3 0.626 0.121 0.626
Li4 0.121 0.626 0.626


No. 17
## LiLuAl (GGA-PBE)

Data for crystalline LiLuAl at its relaxed geometry.

Calculated values
DOS at the Fermi energy: 1.61 states/eV per cell
magnetic moment: 0.000 μB per atom
E_tot: -0.264 Ry per atom
calculated volume: 20.866 Å³/atom
formation energy: -0.194 eV/atom

Cell: 3.190 4.760 4.760 Å, 120.00 90.00 90.00°
Fractional coordinates of all 3 atoms:
Lu1 0.667 0.667 0.333
Al1 0.167 0.333 0.667
Li1 0.166 0.000 0.000


No. 18
## LiLuMgAl (GGA-PBE)

Data for crystalline LiLuMgAl at its relaxed geometry.

Calculated values
DOS at the Fermi energy: 2.50 states/eV per cell
magnetic moment: 0.000 μB per atom
E_tot: -0.228 Ry per atom
calculated volume: 20.560 Å³/atom
formation energy: -0.165 eV/atom

Cell: 4.881 4.881 4.881 Å, 60.00 60.00 60.00°
Fractional coordinates of all 4 atoms:
Al1 0.500 0.500 0.500
Lu1 0.250 0.250 0.250
Mg1 0.750 0.750 0.750
Li1 0.000 0.000 0.000


No. 19
## LiLuMnAl (GGA-PBE)

Data for crystalline LiLuMnAl at its relaxed geometry.

Calculated values
DOS at the Fermi energy: 3.05 states/eV per cell
magnetic moment: 0.974 μB per atom
E_tot: -0.360 Ry per atom
calculated volume: 17.802 Å³/atom
formation energy: -0.057 eV/atom

Cell: 4.652 4.652 4.652 Å, 60.00 60.00 60.00°
Last column: magnetic moment on the atom in μB.
Fractional coordinates of all 4 atoms:
Al1 0.750 0.750 0.750  0.01
Li1 0.000 0.000 0.000  0.02
Lu1 0.250 0.250 0.250  -0.16
Mn1 0.500 0.500 0.500  -3.40


No. 20
## LiNdLuAl (GGA-PBE)

Data for crystalline LiNdLuAl at its relaxed geometry.

Calculated values
DOS at the Fermi energy: 3.87 states/eV per cell
magnetic moment: 0.000 μB per atom
E_tot: -0.289 Ry per atom
calculated volume: 24.621 Å³/atom
formation energy: -0.193 eV/atom

Cell: 5.184 5.184 5.184 Å, 60.00 60.00 60.00°
Fractional coordinates of all 4 atoms:
Al1 0.500 0.500 0.500
Li1 0.000 0.000 0.000
Lu1 0.750 0.750 0.750
Nd1 0.250 0.250 0.250